Computed, not measured: a relaxed structure of CsMnW2O8 at the GGA+U level of DFT.

As for the uncorrected energy: -6.986 eV per atom. As for the volume: 233.73 Å³ per cell. The value obtained for the total magnetic moment is 2.00 μB/f.u.

The structure belongs to space group P-3 (No. 147); the cell edges are 5.5999, 5.5999 and 8.6066 Å and the angles 90.00°, 90.00° and 120.00°. The distinct sites, in fractional coordinates, are Cs at (0.0000, 0.0000, 0.0000), Mn at (0.0000, 0.0000, 0.5000), W at (0.3333, 0.6667, 0.6947), O at (0.0835, 0.3173, 0.6330) and O at (0.3333, 0.6667, 0.9018).